(1)
## La2AlGe (GGA-PBE)

Data for crystalline La2AlGe at its relaxed geometry.

Structure (CIF):
```
data_La2AlGe
_chemical_formula_sum 'La8 Al4 Ge4'
_cell_length_a 8.460
_cell_length_b 8.460
_cell_length_c 6.430
_cell_angle_alpha 90.00
_cell_angle_beta 90.00
_cell_angle_gamma 90.00
_space_group_name_H-M_alt 'P 1'
_space_group_IT_number 1
_space_group_name_Hall 'P 1'
loop_
_atom_site_label
_atom_site_type_symbol
_atom_site_fract_x
_atom_site_fract_y
_atom_site_fract_z
_atom_site_occupancy
La1 La 0.233 0.250 0.125 1
La2 La 0.250 0.733 0.375 1
La3 La 0.250 0.767 0.875 1
La4 La 0.267 0.250 0.625 1
La5 La 0.733 0.750 0.625 1
La6 La 0.750 0.233 0.875 1
La7 La 0.750 0.267 0.375 1
La8 La 0.767 0.750 0.125 1
Al1 Al 0.000 0.000 0.500 1
Al2 Al 0.000 0.500 0.750 1
Al3 Al 0.500 0.000 0.250 1
Al4 Al 0.500 0.500 0.000 1
Ge1 Ge 0.000 0.000 0.000 1
Ge2 Ge 0.000 0.500 0.250 1
Ge3 Ge 0.500 0.000 0.750 1
Ge4 Ge 0.500 0.500 0.500 1
```

Properties
ΔE_f: -0.214 eV/atom
SG: I-42d, No. 122


(2)
## LaAlGe2 (GGA-PBE)

Data for crystalline LaAlGe2 at its relaxed geometry.

Structure (CIF):
```
data_LaAlGe2
_chemical_formula_sum 'La2 Al2 Ge4'
_cell_length_a 4.023
_cell_length_b 5.767
_cell_length_c 8.394
_cell_angle_alpha 90.00
_cell_angle_beta 90.00
_cell_angle_gamma 90.00
_space_group_name_H-M_alt 'P 1'
_space_group_IT_number 1
_space_group_name_Hall 'P 1'
loop_
_atom_site_label
_atom_site_type_symbol
_atom_site_fract_x
_atom_site_fract_y
_atom_site_fract_z
_atom_site_occupancy
La1 La 0.000 0.000 0.000 1
La2 La 0.000 0.500 0.500 1
Al1 Al 0.500 0.000 0.534 1
Al2 Al 0.500 0.500 0.034 1
Ge1 Ge 0.500 0.222 0.266 1
Ge2 Ge 0.500 0.278 0.766 1
Ge3 Ge 0.500 0.722 0.766 1
Ge4 Ge 0.500 0.778 0.266 1
```

Properties
ΔE_f: -0.330 eV/atom
SG: Amm2, No. 38


(3)
## LaAlGe2 (GGA-PBE)

Data for crystalline LaAlGe2 at its relaxed geometry.

Structure (CIF):
```
data_LaAlGe2
_chemical_formula_sum 'La4 Al4 Ge8'
_cell_length_a 4.825
_cell_length_b 4.825
_cell_length_c 17.493
_cell_angle_alpha 90.00
_cell_angle_beta 90.00
_cell_angle_gamma 90.00
_space_group_name_H-M_alt 'P 1'
_space_group_IT_number 1
_space_group_name_Hall 'P 1'
loop_
_atom_site_label
_atom_site_type_symbol
_atom_site_fract_x
_atom_site_fract_y
_atom_site_fract_z
_atom_site_occupancy
La1 La 0.000 0.000 0.000 1
La2 La 0.000 0.500 0.250 1
La3 La 0.500 0.000 0.750 1
La4 La 0.500 0.500 0.500 1
Al1 Al 0.000 0.000 0.500 1
Al2 Al 0.000 0.500 0.750 1
Al3 Al 0.500 0.000 0.250 1
Al4 Al 0.500 0.500 0.000 1
Ge1 Ge 0.120 0.250 0.625 1
Ge2 Ge 0.250 0.620 0.875 1
Ge3 Ge 0.250 0.880 0.375 1
Ge4 Ge 0.380 0.250 0.125 1
Ge5 Ge 0.620 0.750 0.125 1
Ge6 Ge 0.750 0.120 0.375 1
Ge7 Ge 0.750 0.380 0.875 1
Ge8 Ge 0.880 0.750 0.625 1
```

Properties
ΔE_f: -0.255 eV/atom
SG: I-42d, No. 122


(4)
## La2AlGe (GGA-PBE)

Data for crystalline La2AlGe at its relaxed geometry.

Structure (CIF):
```
data_La2AlGe
_chemical_formula_sum 'La4 Al2 Ge2'
_cell_length_a 6.257
_cell_length_b 4.175
_cell_length_c 9.054
_cell_angle_alpha 90.00
_cell_angle_beta 108.46
_cell_angle_gamma 90.00
_space_group_name_H-M_alt 'P 1'
_space_group_IT_number 1
_space_group_name_Hall 'P 1'
loop_
_atom_site_label
_atom_site_type_symbol
_atom_site_fract_x
_atom_site_fract_y
_atom_site_fract_z
_atom_site_occupancy
La1 La 0.208 0.250 0.428 1
La2 La 0.283 0.750 0.069 1
La3 La 0.717 0.250 0.931 1
La4 La 0.792 0.750 0.572 1
Al1 Al 0.353 0.750 0.718 1
Al2 Al 0.647 0.250 0.282 1
Ge1 Ge 0.146 0.250 0.787 1
Ge2 Ge 0.854 0.750 0.213 1
```

Properties
ΔE_f: -0.658 eV/atom
SG: P2_1/m, No. 11


(5)
## La3AlGe4 (GGA-PBE)

Data for crystalline La3AlGe4 at its relaxed geometry.

Structure (CIF):
```
data_La3AlGe4
_chemical_formula_sum 'La6 Al2 Ge8'
_cell_length_a 4.643
_cell_length_b 5.965
_cell_length_c 15.602
_cell_angle_alpha 90.00
_cell_angle_beta 90.00
_cell_angle_gamma 90.00
_space_group_name_H-M_alt 'P 1'
_space_group_IT_number 1
_space_group_name_Hall 'P 1'
loop_
_atom_site_label
_atom_site_type_symbol
_atom_site_fract_x
_atom_site_fract_y
_atom_site_fract_z
_atom_site_occupancy
La1 La 0.000 0.000 0.000 1
La2 La 0.000 0.500 0.189 1
La3 La 0.000 0.500 0.811 1
La4 La 0.500 0.000 0.311 1
La5 La 0.500 0.000 0.689 1
La6 La 0.500 0.500 0.500 1
Al1 Al 0.000 0.000 0.500 1
Al2 Al 0.500 0.500 0.000 1
Ge1 Ge 0.000 0.292 0.376 1
Ge2 Ge 0.000 0.292 0.624 1
Ge3 Ge 0.000 0.708 0.376 1
Ge4 Ge 0.000 0.708 0.624 1
Ge5 Ge 0.500 0.208 0.124 1
Ge6 Ge 0.500 0.208 0.876 1
Ge7 Ge 0.500 0.792 0.124 1
Ge8 Ge 0.500 0.792 0.876 1
```

Properties
ΔE_f: -0.644 eV/atom
SG: Immm, No. 71


(6)
## La7Al2Ge2 (GGA-PBE)

Data for crystalline La7Al2Ge2 at its relaxed geometry.

Structure (CIF):
```
data_La7Al2Ge2
_chemical_formula_sum 'La7 Al2 Ge2'
_cell_length_a 7.080
_cell_length_b 7.080
_cell_length_c 7.308
_cell_angle_alpha 90.00
_cell_angle_beta 90.00
_cell_angle_gamma 107.23
_space_group_name_H-M_alt 'P 1'
_space_group_IT_number 1
_space_group_name_Hall 'P 1'
loop_
_atom_site_label
_atom_site_type_symbol
_atom_site_fract_x
_atom_site_fract_y
_atom_site_fract_z
_atom_site_occupancy
La1 La 0.000 0.000 0.000 1
La2 La 0.000 0.500 0.291 1
La3 La 0.000 0.500 0.709 1
La4 La 0.500 0.000 0.291 1
La5 La 0.500 0.000 0.709 1
La6 La 0.500 0.500 0.260 1
La7 La 0.500 0.500 0.740 1
Al1 Al 0.157 0.157 0.500 1
Al2 Al 0.843 0.843 0.500 1
Ge1 Ge 0.280 0.720 0.000 1
Ge2 Ge 0.720 0.280 0.000 1
```

Properties
ΔE_f: -0.333 eV/atom
SG: Cmmm, No. 65


Question: Which value of ΔE_f does entry 1 give?
Answer: -0.214 eV/atom


Question: What is the ΔE_f in the fourth record?
Answer: -0.658 eV/atom


Question: Look up the ΔE_f of the first one.
Answer: -0.214 eV/atom